[1]
First-principles (PBE) data for a relaxed TiFeTe2N crystal, as listed in Alexandria via LeMat-Bulk.

```
TiFeTe2N
1.0
-1.2448 5.2745 0.9930
-3.1476 -1.5431 4.2506
2.9124 0.2633 2.2523
Te Ti Fe N
2 1 1 1
direct
0.5000 0.0000 0.0000 Te
0.0000 0.5000 0.0000 Te
0.0000 0.0000 0.0000 Ti
0.5000 0.5000 0.5000 Fe
0.0000 0.0000 0.5000 N
```

final energy	-29.1	eV per cell
total moment	3.343	μB/f.u.
theoretical density	5.5	g/cm3
calculated volume	112.0	Å³/f.u.
formation energy without anion corrections	363.3	meV per atom
relative energy among the computed polymorphs	4.59	kcal/mol of atoms



[2]
First-principles (PBE) data for a relaxed Nd2Sc2Sn2C crystal, as listed in Alexandria via LeMat-Bulk.

```
Nd2Sc2Sn2C
1.0
4.5963 0.0000 0.0000
0.0000 4.5963 0.0000
-2.2981 -2.2981 8.1481
Nd Sc Sn C
2 2 2 1
direct
0.8402 0.8402 0.6803 Nd
0.1598 0.1598 0.3197 Nd
0.0000 0.5000 0.0000 Sc
0.5000 0.0000 0.0000 Sc
0.6311 0.6311 0.2622 Sn
0.3689 0.3689 0.7378 Sn
0.0000 0.0000 0.0000 C
```

final energy	-45.0	eV per cell
total moment	0.000	μB/f.u.
theoretical density	6.1	g/cm3
calculated volume	172.1	Å³/f.u.
formation energy from the elements	-0.80	eV/atom



Copy entry 2 word for word.
First-principles (PBE) data for a relaxed Nd2Sc2Sn2C crystal, as listed in Alexandria via LeMat-Bulk.

```
Nd2Sc2Sn2C
1.0
4.5963 0.0000 0.0000
0.0000 4.5963 0.0000
-2.2981 -2.2981 8.1481
Nd Sc Sn C
2 2 2 1
direct
0.8402 0.8402 0.6803 Nd
0.1598 0.1598 0.3197 Nd
0.0000 0.5000 0.0000 Sc
0.5000 0.0000 0.0000 Sc
0.6311 0.6311 0.2622 Sn
0.3689 0.3689 0.7378 Sn
0.0000 0.0000 0.0000 C
```

final energy	-45.0	eV per cell
total moment	0.000	μB/f.u.
theoretical density	6.1	g/cm3
calculated volume	172.1	Å³/f.u.
formation energy from the elements	-0.80	eV/atom



Question: Look up the total moment of the first one.
Answer: 3.343 μB/f.u.



Question: What is the total moment in the first record?
Answer: 3.343 μB/f.u.



Repeat the first record exactly.
First-principles (PBE) data for a relaxed TiFeTe2N crystal, as listed in Alexandria via LeMat-Bulk.

```
TiFeTe2N
1.0
-1.2448 5.2745 0.9930
-3.1476 -1.5431 4.2506
2.9124 0.2633 2.2523
Te Ti Fe N
2 1 1 1
direct
0.5000 0.0000 0.0000 Te
0.0000 0.5000 0.0000 Te
0.0000 0.0000 0.0000 Ti
0.5000 0.5000 0.5000 Fe
0.0000 0.0000 0.5000 N
```

final energy	-29.1	eV per cell
total moment	3.343	μB/f.u.
theoretical density	5.5	g/cm3
calculated volume	112.0	Å³/f.u.
formation energy without anion corrections	363.3	meV per atom
relative energy among the computed polymorphs	4.59	kcal/mol of atoms